(1)
Below is Pm4Y4Er3 after structural relaxation, with properties calculated at the PBE-GGA level.

a b c (Å): 3.539 5.635 18.224
angles (deg): 98.88 95.56 90.00
Space group P-1 (No. 2)
Asymmetric unit:
1 Pm 0.046 0.047 0.092 x2
2 Pm 0.179 0.680 0.359 x2
3 Y 0.090 0.591 0.181 x2
4 Y 0.233 0.233 0.466 x2
5 Er 0.364 0.863 0.726 x2
6 Er 0.500 0.500 0.000 x1

The energy above the most stable polymorph in this dataset is 0.000 eV/f.u. The value obtained for the formation energy is 0.054 eV per atom. The calculation puts the volume at 32.5 A^3/atom. For the total magnetization, the calculation gives 0.000 μB per cell.



(2)
Below is CePa2Ru after structural relaxation, with properties calculated at the PBE-GGA level.

a b c (Å): 4.2346 4.2346 17.6440
angles (deg): 90.00 90.00 120.00
Space group R-3m (No. 166, hexagonal axes)
Asymmetric unit:
1 Ce 0.0000 0.0000 0.0000 x3
2 Pa 0.0000 0.0000 0.2427 x6
3 Ru 0.0000 0.0000 0.5000 x3

The energy above the most stable polymorph in this dataset is 0.600 eV/f.u. The value obtained for the formation energy is 0.002 eV per atom. The calculation puts the volume at 22.8 A^3/atom. For the total magnetization, the calculation gives 0.001 μB per cell.



So what do the calculations give for density of states at the Fermi level? Going down the list: 19.60 27.70 states/eV per cell.
So what do the calculations give for VASP energy? Going down the list: -57.95 -102.57 eV for the cell shown.